# 1
The following is a PBE calculation of an optimized crystal structure of PmVH3, from Alexandria via LeMat-Bulk.

* total energy: -25.33 eV per cell

Lattice parameters (Å, degrees): 3.6958 3.6958 3.6958 90.00 90.00 90.00
Fractional positions:
H: 0.0000 0.5000 0.0000
H: 0.0000 0.0000 0.5000
H: 0.5000 0.0000 0.0000
V: 0.0000 0.0000 0.0000
Pm: 0.5000 0.5000 0.5000

# 2
The following is a PBE calculation of an optimized crystal structure of PmV2H8, from Alexandria via LeMat-Bulk.

* total energy: -52.44 eV per cell

Lattice parameters (Å, degrees): 4.7901 4.5223 4.5223 119.97 89.94 89.94
Fractional positions:
Pm: 0.0566 0.9987 0.9987
V: 0.5731 0.6636 0.3305
V: 0.5731 0.3305 0.6636
H: 0.3227 0.9976 0.5455
H: 0.3227 0.5455 0.9976
H: 0.6538 0.7412 0.7412
H: 0.9358 0.3283 0.6619
H: 0.9358 0.6619 0.3283
H: 0.3226 0.4496 0.4496
H: 0.6522 0.2523 0.9969
H: 0.6522 0.9969 0.2523

# 3
The following is a PBE calculation of an optimized crystal structure of PmH8W2, from Alexandria via LeMat-Bulk.

* total energy: -58.04 eV per cell

Lattice parameters (Å, degrees): 4.5081 4.8467 4.8456 117.83 90.12 90.19
Fractional positions:
Pm: 0.0564 0.0347 0.0363
H: 0.3243 0.9906 0.6134
H: 0.3228 0.6106 0.9908
H: 0.7409 0.6771 0.6769
H: 0.9473 0.2781 0.6561
H: 0.9472 0.6593 0.2788
H: 0.3015 0.4375 0.4376
H: 0.6243 0.2678 0.0119
H: 0.6203 0.0120 0.2664
W: 0.5577 0.6699 0.3283
W: 0.5576 0.3283 0.6696

# 4
The following is a PBE calculation of an optimized crystal structure of Pm2Y4H, from Alexandria via LeMat-Bulk.

* total energy: -38.26 eV per cell

Lattice parameters (Å, degrees): 4.8759 4.8759 9.3615 74.90 74.90 90.00
Fractional positions:
Y: 0.8489 0.8489 0.3021
Y: 0.1511 0.1511 0.6979
Y: 0.0000 0.5000 0.0000
Y: 0.5000 0.0000 0.0000
H: 0.0000 0.0000 0.0000
Pm: 0.6474 0.6474 0.7051
Pm: 0.3526 0.3526 0.2949

# 5
The following is a PBE calculation of an optimized crystal structure of PmYH2, from Alexandria via LeMat-Bulk.

* polymorph energy (0 for the lowest one): 0.000 eV per formula unit

Lattice parameters (Å, degrees): 3.5488 3.5488 6.1234 73.16 73.16 60.00
Fractional positions:
Y: 0.0000 0.0000 0.0000
H: 0.7445 0.7445 0.7665
H: 0.2555 0.2555 0.2335
Pm: 0.5000 0.5000 0.5000

# 6
The following is a PBE calculation of an optimized crystal structure of PmYH, from Alexandria via LeMat-Bulk.

* polymorph energy (0 for the lowest one): 0.000 eV per formula unit

Lattice parameters (Å, degrees): 3.6751 3.6751 5.7376 90.00 90.00 120.00
Fractional positions:
Y: 0.6667 0.3333 0.4292
H: 0.3333 0.6667 0.6585
Pm: 0.0000 0.0000 0.9122